The following is a PBE calculation of KHf2MnNi after structural relaxation, from Alexandria via LeMat-Bulk.

Properties
Crystal system ... tetragonal
V ... 118 Å³/cell
Raw total energy ... -6.465 eV per atom
Space-group type ... P4/mmm

Lattice parameters (Å, degrees): 4.9117 4.9000 4.9117 90.00 90.00 90.00
Atoms (fractional coordinates):
Ni 0.0000 0.0000 0.0000
K 0.5000 0.5000 0.5000
Mn 0.0000 0.5000 0.0000
Hf 0.0000 0.0000 0.5000
Hf 0.5000 0.0000 0.0000